Entry 1:
A relaxed structure of Li4Cd5Ag2, computed with GGA-PBE.

Cell and atoms, written as CIF:
```
data_Li4Cd5Ag2
_cell_length_a 3.0084
_cell_length_b 7.1430
_cell_length_c 12.1025
_cell_angle_alpha 122.00
_cell_angle_beta 97.14
_cell_angle_gamma 90.00
_space_group_name_H-M_alt 'P 1'
_space_group_IT_number 1
loop_
_space_group_symop_operation_xyz
'x,y,z'
loop_
_atom_site_label
_atom_site_type_symbol
_atom_site_fract_x
_atom_site_fract_y
_atom_site_fract_z
Cd1 Cd 0.1806 0.8842 0.3613
Cd2 Cd 0.8194 0.1158 0.6387
Cd3 Cd 0.8663 0.7979 0.7326
Cd4 Cd 0.5000 0.0000 0.0000
Cd5 Cd 0.1337 0.2021 0.2674
Ag1 Ag 0.2760 0.3808 0.5519
Ag2 Ag 0.7240 0.6192 0.4481
Li1 Li 0.9566 0.2611 0.9133
Li2 Li 0.0434 0.7389 0.0867
Li3 Li 0.4084 0.5260 0.8169
Li4 Li 0.5916 0.4740 0.1831
```

Properties
**ΔE_f**: -101 meV per atom
**Space group**: No. 12
**Electronic total energy**: -19.0 eV per formula unit
**Magnetization**: 0.00 μB per formula unit
**N(E_F)**: 3.82 states/eV/f.u.

Entry 2:
A relaxed structure of SrFeOs, computed with GGA-PBE.

Cell and atoms, written as CIF:
```
data_SrFeOs
_cell_length_a 5.1761
_cell_length_b 5.1761
_cell_length_c 8.6637
_cell_angle_alpha 90.00
_cell_angle_beta 90.00
_cell_angle_gamma 120.00
_space_group_name_H-M_alt 'P 1'
_space_group_IT_number 1
loop_
_space_group_symop_operation_xyz
'x,y,z'
loop_
_atom_site_label
_atom_site_type_symbol
_atom_site_fract_x
_atom_site_fract_y
_atom_site_fract_z
Sr1 Sr 0.6667 0.3333 0.7500
Sr2 Sr 0.3333 0.6667 0.2500
Fe1 Fe 0.0000 0.0000 0.2500
Fe2 Fe 0.0000 0.0000 0.7500
Os1 Os 0.0000 0.0000 0.0000
Os2 Os 0.0000 0.0000 0.5000
```

Properties
**ΔE_f**: 1629 meV per atom
**Space group**: No. 194
**Electronic total energy**: -16.5 eV per formula unit
**Magnetization**: 2.98 μB per formula unit
**N(E_F)**: 3.95 states/eV/f.u.

The records above give, respectively, ΔE to the lowest computed polymorph values of 103; 1346 meV per atom.